No. 1
Compound: AlCo
Source: OQMD
Functional: PBE
Structure: optimized geometry

The final energy comes out at -6.03 eV per atom.

Cell lengths 4.0267, 2.8403, 4.0281 Å; angles 90.00, 90.00, 90.00 degrees
Atoms (fractional coordinates):
Co 0.2500 0.5000 0.7500
Co 0.7500 0.5000 0.2500
Al 0.2500 0.0000 0.2497
Al 0.7500 0.0000 0.7503


No. 2
Compound: Al2Co
Source: OQMD
Functional: PBE
Structure: optimized geometry

The final energy comes out at -5.18 eV per atom.

Cell lengths 4.7935, 4.7935, 7.8008 Å; angles 90.00, 90.00, 116.17 degrees
Atoms (fractional coordinates):
Al 0.5000 0.5000 0.0000
Al 0.8421 0.1579 0.4269
Al 0.8421 0.1579 0.0731
Al 0.1579 0.8421 0.9269
Co 0.3039 0.1862 0.2500
Al 0.5000 0.5000 0.5000
Al 0.6982 0.3018 0.7500
Co 0.8138 0.6961 0.2500
Al 0.3018 0.6982 0.2500
Co 0.6961 0.8138 0.7500
Al 0.1579 0.8421 0.5731
Co 0.1862 0.3039 0.7500


No. 3
Compound: Al9Co4
Source: OQMD
Functional: PBE
Structure: optimized geometry

The calculation puts the energy above the lowest structure with this stoichiometry at 0.178 eV per atom.

Cell lengths 9.3227, 9.3227, 9.3227 Å; angles 30.39, 30.39, 30.39 degrees
Atoms (fractional coordinates):
Al 0.9085 0.4143 0.9085
Co 0.4498 0.4498 0.4498
Al 0.8332 0.8332 0.8332
Al 0.0915 0.5857 0.0915
Co 0.5502 0.5502 0.5502
Al 0.1668 0.1668 0.1668
Al 0.4143 0.9085 0.9085
Al 0.0000 0.0000 0.0000
Al 0.0915 0.0915 0.5857
Co 0.3394 0.3394 0.3394
Al 0.9085 0.9085 0.4143
Al 0.5857 0.0915 0.0915
Co 0.6606 0.6606 0.6606


No. 4
Compound: Al7Co8
Source: OQMD
Functional: PBE
Structure: optimized geometry

The calculation puts the energy above the lowest structure with this stoichiometry at 0.036 eV per atom.

Cell lengths 8.9202, 8.9202, 4.5742 Å; angles 90.00, 90.00, 90.00 degrees
Atoms (fractional coordinates):
Al 0.4627 0.1321 0.0000
Al 0.8962 0.1038 0.5000
Co 0.1824 0.1824 0.2511
Co 0.7382 0.0675 0.0000
Co 0.2618 0.9325 0.0000
Co 0.6824 0.3176 0.2489
Co 0.3176 0.6824 0.7511
Co 0.9325 0.2618 0.0000
Al 0.0000 0.0000 0.0000
Al 0.0373 0.6321 0.5000
Co 0.8176 0.8176 0.2511
Co 0.2382 0.4325 0.5000
Al 0.5000 0.5000 0.5000
Co 0.5675 0.7618 0.5000
Co 0.0675 0.7382 0.0000
Al 0.6038 0.6038 0.0000
Al 0.9627 0.3679 0.5000
Al 0.5373 0.8679 0.0000
Co 0.3176 0.6824 0.2489
Co 0.8176 0.8176 0.7489
Co 0.6824 0.3176 0.7511
Co 0.7618 0.5675 0.5000
Al 0.1321 0.4627 0.0000
Co 0.4325 0.2382 0.5000
Al 0.3679 0.9627 0.5000
Al 0.6321 0.0373 0.5000
Co 0.1824 0.1824 0.7489
Al 0.3962 0.3962 0.0000
Al 0.1038 0.8962 0.5000
Al 0.8679 0.5373 0.0000


No. 5
Compound: Al5Co
Source: OQMD
Functional: PBE
Structure: optimized geometry

The final energy comes out at -4.39 eV per atom.

Cell lengths 4.7442, 4.7442, 9.0481 Å; angles 90.00, 90.00, 120.00 degrees
Atoms (fractional coordinates):
Al 0.3333 0.6667 0.7500
Al 0.3463 0.3463 0.0000
Al 0.0000 0.0000 0.7500
Co 0.3333 0.6667 0.2500
Al 0.3463 0.0000 0.5000
Co 0.6667 0.3333 0.7500
Al 0.0000 0.3463 0.5000
Al 0.0000 0.0000 0.2500
Al 0.6537 0.0000 0.0000
Al 0.0000 0.6537 0.0000
Al 0.6667 0.3333 0.2500
Al 0.6537 0.6537 0.5000


No. 6
Compound: Al5Co2
Source: OQMD
Functional: PBE
Structure: optimized geometry

The final energy comes out at -5.17 eV per atom.

Cell lengths 7.6658, 7.6659, 7.5812 Å; angles 90.00, 90.00, 120.00 degrees
Atoms (fractional coordinates):
Al 0.0000 0.0000 0.0000
Al 0.8058 0.1942 0.4396
Al 0.5325 0.4674 0.7500
Al 0.9350 0.4674 0.7500
Al 0.0650 0.5326 0.2500
Al 0.6116 0.8058 0.5604
Al 0.8058 0.6116 0.0605
Al 0.0000 0.0000 0.5000
Co 0.2548 0.1274 0.7500
Co 0.1274 0.2547 0.2500
Al 0.5325 0.0651 0.7500
Al 0.3884 0.1942 0.4396
Al 0.4675 0.9349 0.2500
Co 0.3333 0.6666 0.7500
Al 0.1942 0.8058 0.5604
Al 0.6116 0.8058 0.9396
Co 0.7452 0.8726 0.2500
Al 0.8058 0.6116 0.4395
Al 0.3884 0.1942 0.0604
Co 0.8726 0.7453 0.7500
Co 0.1274 0.8726 0.2500
Al 0.4675 0.5326 0.2500
Al 0.1942 0.3884 0.5605
Al 0.1942 0.8058 0.9396
Co 0.8726 0.1274 0.7500
Co 0.6667 0.3334 0.2500
Al 0.1942 0.3884 0.9395
Al 0.8058 0.1942 0.0604


Number 1: theoretical density 6.19 Mg/m³, magnetization 0.00 μB per atom, V 46.07 Å³ per cell. Number 2: theoretical density 4.66 Mg/m³, magnetization 0.00 μB per atom, V 160.87 Å³ per cell. Number 3: theoretical density 4.32 Mg/m³, magnetization 0.05 μB per atom, V 183.82 Å³ per cell. Number 4: theoretical density 6.03 Mg/m³, magnetization 0.45 μB per atom, V 363.97 Å³ per cell. Number 5: theoretical density 3.65 Mg/m³, magnetization 0.00 μB per atom, V 176.36 Å³ per cell. Number 6: theoretical density 4.35 Mg/m³, magnetization 0.00 μB per atom, V 385.83 Å³ per cell.